Computed, not measured: a relaxed structure of AlTlPb4 at the GGA-PBE level of DFT.

Cell: 6.527 6.527 6.527 Å, 60.00 60.00 60.00°
Atoms (fractional coordinates):
Al  0.000  0.000  0.000
Tl  0.250  0.250  0.250
Pb  0.124  0.625  0.625
Pb  0.625  0.124  0.625
Pb  0.625  0.625  0.124
Pb  0.625  0.625  0.625

Computed properties:
- total moment (μB per formula unit) = 0.00
- density (g/cm³) = 8.954
- DOS(E_F) (states/eV/f.u.) = 4.40

---

Computed, not measured: a relaxed structure of Al2TlPb at the GGA-PBE level of DFT.

Cell: 5.860 5.860 5.860 Å, 135.01 135.01 65.52°
Atoms (fractional coordinates):
Al  0.000  0.000  0.000
Al  0.750  0.250  0.500
Tl  0.500  0.500  0.000
Pb  0.250  0.750  0.500

Computed properties:
- total moment (μB per formula unit) = 0.00
- offset from the most stable computed form (eV per atom) = 0.147
- density (g/cm³) = 7.801
- DOS(E_F) (states/eV/f.u.) = 1.55

---

Computed, not measured: a relaxed structure of Al2Tl2Pb at the GGA-PBE level of DFT.

Cell: 7.000 7.000 7.000 Å, 141.09 141.09 56.21°
Atoms (fractional coordinates):
Al  0.102  0.102  0.000
Al  0.898  0.898  0.000
Tl  0.250  0.750  0.500
Tl  0.750  0.250  0.500
Pb  0.500  0.500  0.000

Computed properties:
- total moment (μB per formula unit) = 0.00
- offset from the most stable computed form (eV per atom) = 0.067
- density (g/cm³) = 8.285
- DOS(E_F) (states/eV/f.u.) = 2.44

---

Computed, not measured: a relaxed structure of AlTl3Pb at the GGA-PBE level of DFT.

Cell: 5.438 5.438 5.438 Å, 90.00 90.00 90.00°
Atoms (fractional coordinates):
Al  0.000  0.000  0.000
Tl  0.000  0.000  0.500
Tl  0.000  0.500  0.000
Tl  0.500  0.000  0.000
Pb  0.500  0.500  0.500

Computed properties:
- total moment (μB per formula unit) = 0.00
- offset from the most stable computed form (eV per atom) = 0.000
- density (g/cm³) = 8.751
- DOS(E_F) (states/eV/f.u.) = 2.59

---

Computed, not measured: a relaxed structure of Al2Tl2Pb at the GGA-PBE level of DFT.

Cell: 8.369 8.369 3.691 Å, 90.00 90.00 90.00°
Atoms (fractional coordinates):
Al  0.116  0.384  0.000
Al  0.384  0.884  0.000
Al  0.616  0.116  0.000
Al  0.884  0.616  0.000
Tl  0.182  0.682  0.500
Tl  0.318  0.182  0.500
Tl  0.682  0.818  0.500
Tl  0.818  0.318  0.500
Pb  0.000  0.000  0.000
Pb  0.500  0.500  0.000

Computed properties:
- total moment (μB per formula unit) = 0.00
- offset from the most stable computed form (eV per atom) = 0.016
- density (g/cm³) = 8.606
- DOS(E_F) (states/eV/f.u.) = 2.10

---

Computed, not measured: a relaxed structure of Al2TlPb at the GGA-PBE level of DFT.

Cell: 3.269 3.269 10.182 Å, 90.00 90.00 112.15°
Atoms (fractional coordinates):
Al  0.000  0.000  0.249
Al  0.000  0.000  0.751
Tl  0.500  0.500  0.000
Pb  0.500  0.500  0.500

Computed properties:
- total moment (μB per formula unit) = 0.00
- offset from the most stable computed form (eV per atom) = 0.163
- density (g/cm³) = 7.670
- DOS(E_F) (states/eV/f.u.) = 1.77

---

| no. | energy of formation from the pure elements (eV/atom) |
| --- | --- |
| 1 | 0.279 |
| 2 | 0.299 |
| 3 | 0.278 |
| 4 | 0.309 |
| 5 | 0.227 |
| 6 | 0.315 |